(1)
The following is a PBE-GGA calculation of a relaxed Nd8SmTm4 crystal, from Alexandria.

a b c (Å): 7.305 7.305 10.434
angles (deg): 90.00 110.49 120.00
Sites, in units of the cell vectors:
Nd  0.044  0.795  0.292
Nd  0.503  0.752  0.708
Tm  0.500  0.500  0.000
Tm  0.500  0.000  0.000
Sm  0.000  0.500  0.500
Nd  0.497  0.248  0.292
Nd  0.571  0.786  0.357
Nd  0.956  0.205  0.708
Nd  0.044  0.248  0.292
Tm  0.000  0.500  0.000
Tm  0.000  0.000  0.000
Nd  0.956  0.752  0.708
Nd  0.429  0.214  0.643

## Properties
The density of states at the Fermi level is 13.78 states/eV/cell. The calculation puts the total DFT energy (no corrections) at -0.1649 hartree per atom. The formation energy from the elements is 0.19 eV/atom.


(2)
The following is a PBE-GGA calculation of a relaxed Nd5Sm3Tm4 crystal, from Alexandria.

a b c (Å): 5.855 5.681 14.592
angles (deg): 84.17 78.43 58.99
Sites, in units of the cell vectors:
Nd  0.203  0.343  0.251
Nd  0.500  0.500  0.500
Sm  0.456  0.338  0.750
Nd  0.797  0.657  0.749
Tm  0.938  0.001  0.123
Tm  0.062  0.999  0.877
Tm  0.177  0.998  0.648
Nd  0.331  0.338  0.000
Tm  0.823  0.002  0.352
Nd  0.669  0.662  0.000
Sm  0.544  0.662  0.250
Sm  0.000  0.500  0.500

## Properties
The density of states at the Fermi level is 19.84 states/eV/cell. The calculation puts the total DFT energy (no corrections) at -0.1629 hartree per atom. The formation energy from the elements is 0.22 eV/atom.


(3)
The following is a PBE-GGA calculation of a relaxed Nd2Sm4Tm5 crystal, from Alexandria.

a b c (Å): 3.531 8.632 14.365
angles (deg): 122.54 97.06 90.00
Sites, in units of the cell vectors:
Nd  0.725  0.623  0.449
Nd  0.275  0.377  0.551
Tm  0.130  0.212  0.259
Tm  0.870  0.788  0.741
Tm  0.500  0.000  0.000
Sm  0.412  0.519  0.824
Sm  0.588  0.481  0.176
Sm  0.040  0.741  0.081
Tm  0.814  0.100  0.628
Sm  0.960  0.259  0.919
Tm  0.186  0.900  0.372

## Properties
The density of states at the Fermi level is 17.11 states/eV/cell. The calculation puts the total DFT energy (no corrections) at -0.1654 hartree per atom. The formation energy from the elements is 0.11 eV/atom. As for the relative energy among the computed polymorphs: 0.69 eV/f.u.


(4)
The following is a PBE-GGA calculation of a relaxed Nd3Sm3Tm crystal, from Alexandria.

a b c (Å): 5.833 9.732 9.731
angles (deg): 120.00 90.00 90.00
Sites, in units of the cell vectors:
Sm  0.750  0.617  0.095
Nd  0.250  0.806  0.048
Sm  0.750  0.905  0.522
Nd  0.250  0.242  0.194
Sm  0.750  0.478  0.383
Tm  0.750  0.333  0.667
Nd  0.750  0.048  0.242
Nd  0.250  0.952  0.758
Nd  0.750  0.194  0.952
Tm  0.250  0.667  0.333
Nd  0.750  0.758  0.806
Sm  0.250  0.095  0.478
Sm  0.250  0.522  0.617
Sm  0.250  0.383  0.905

## Properties
The density of states at the Fermi level is 23.10 states/eV/cell. The calculation puts the total DFT energy (no corrections) at -0.1720 hartree per atom. The formation energy from the elements is 0.02 eV/atom. As for the relative energy among the computed polymorphs: 0.00 eV/f.u.